[1]
A relaxed Al2PH3O7 crystal, computed with PBEsol.

Summary:
VASP energy: -6.87 eV per atom
SG: C2/m (12)
calculated volume: 9.474 A^3/atom

Cell lengths 5.0336, 7.7203, 7.7203 Å; angles 62.63, 71.00, 71.00 degrees
Positions (direct):
O (0.7099, 0.7403, 0.4233)
O (0.8280, 0.7148, 0.0798)
O (0.2826, 0.6968, 0.6968)
O (0.1930, 0.9122, 0.9122)
O (0.7174, 0.3032, 0.3032)
O (0.8070, 0.0878, 0.0878)
O (0.7099, 0.4233, 0.7403)
O (0.2901, 0.5767, 0.2597)
O (0.1720, 0.2852, 0.9202)
O (0.2901, 0.2597, 0.5767)
O (0.8280, 0.0798, 0.7148)
O (0.2916, 0.2505, 0.2505)
O (0.7084, 0.7495, 0.7495)
O (0.1720, 0.9202, 0.2852)
H (0.5997, 0.1369, 0.1369)
H (0.6625, 0.1502, 0.6495)
H (0.3375, 0.3505, 0.8498)
H (0.4003, 0.8631, 0.8631)
H (0.6625, 0.6495, 0.1502)
H (0.3375, 0.8498, 0.3505)
Al (0.0000, 0.8020, 0.1980)
Al (0.0352, 0.1838, 0.1838)
Al (0.0000, 0.1980, 0.8020)
Al (0.9648, 0.8162, 0.8162)
P (0.6140, 0.6509, 0.6509)
P (0.3860, 0.3491, 0.3491)

***

[2]
A relaxed KSbTe2 crystal, computed with PBEsol.

Summary:
E_form (uncorrected): -0.396 eV per atom
VASP energy: -3.58 eV per atom
SG: Cm (8)
calculated volume: 36.203 A^3/atom

Cell lengths 4.3479, 4.9985, 7.0270 Å; angles 94.13, 108.02, 90.00 degrees
Positions (direct):
Sb (0.7751, 0.0567, 0.5502)
K (0.5096, 0.6441, 0.0192)
Te (0.9770, 0.1372, 0.9541)
Te (0.2383, 0.6619, 0.4766)

***

[3]
A relaxed Al2HgSe crystal, computed with PBEsol.

Summary:
E_form (uncorrected): 0.032 eV per atom
VASP energy: -3.12 eV per atom
SG: I-4m2 (119)
calculated volume: 20.653 A^3/atom

Cell lengths 3.8386, 3.8386, 6.2289 Å; angles 107.95, 107.95, 90.00 degrees
Positions (direct):
Al (0.0000, 0.0000, 0.0000)
Al (0.7500, 0.2500, 0.5000)
Se (0.2500, 0.7500, 0.5000)
Hg (0.5000, 0.5000, 0.0000)

***

Which N(E_F) belongs to each record? In order, 0.00; 0.16; 1.78 states/eV per cell.
Which calculated density belongs to each record? In order, 2.70; 4.77; 6.70 g cm⁻³.